Material: DyCoGe
Method: DFT, PBEsol
State: optimized geometry

abc: 6.857 4.202 6.921
angles: 90.00 90.00 90.00
Space group Pnma (No. 62)
Asymmetric unit:
Dy1 0.017 0.250 0.192
Co1 0.149 0.750 0.434
Ge1 0.200 0.250 0.606

Crystal system   orthorhombic
DOS at the Fermi energy   0.6573 states/eV per atom
Final energy   -6.607 eV/atom
Formation energy   -0.722 eV per atom